# 1
## ZrGa3Ir2 (PBE)

Data for a geometry-optimized ZrGa3Ir2 structure.

a b c (Å): 3.0926 9.4818 8.7520
angles (deg): 127.01 100.18 90.00
Last column: nearest neighbours and their distance in Å.
Fractional positions:
Zr 0.8595 0.8485 0.7191  6 Ir 2.84-2.87, 5 Ga 3.04-3.15, 2 Zr 3.09
Zr 0.1405 0.1515 0.2809  6 Ir 2.84-2.87, 5 Ga 3.04-3.15, 2 Zr 3.09
Ga 0.6654 0.9034 0.3309  4 Ir 2.59-2.90, 2 Ga 2.78
Ga 0.6698 0.4701 0.3397  3 Ir 2.57-2.62, 2 Ga 2.84
Ga 0.0058 0.3757 0.0115  1 Ga 2.48, 2 Ir 2.57
Ga 0.9942 0.6243 0.9885  1 Ga 2.48, 2 Ir 2.57
Ga 0.3346 0.0966 0.6691  4 Ir 2.59-2.90, 2 Ga 2.78
Ga 0.3302 0.5299 0.6603  3 Ir 2.57-2.62, 2 Ga 2.84
Ir 0.4965 0.8430 0.9930  4 Ga 2.57-2.60, 4 Zr 2.85-2.87
Ir 0.5035 0.1570 0.0070  4 Ga 2.57-2.60, 4 Zr 2.85-2.87
Ir 0.8113 0.2877 0.6226  6 Ga 2.59-2.90, 2 Zr 2.84
Ir 0.1887 0.7123 0.3774  6 Ga 2.59-2.90, 2 Zr 2.84

## Properties
Mass density in g/cm3: 11.4
ΔH_f (0 K) in kJ/mol of atoms: -51.6

=====

# 2
## SmTiBePt2 (PBE)

Data for a geometry-optimized SmTiBePt2 structure.

a b c (Å): 3.9286 3.9286 6.5494
angles (deg): 107.45 107.45 90.00
Last column: nearest neighbours and their distance in Å.
Fractional positions:
Pt 0.6178 0.6178 0.2355  2 Be 2.51, 2 Ti 2.51, 1 Pt 2.79
Pt 0.3822 0.3822 0.7645  2 Be 2.51, 2 Ti 2.51, 1 Pt 2.79
Be 0.7500 0.2500 0.5000  4 Pt 2.51, 4 Ti 2.78
Ti 0.2500 0.7500 0.5000  4 Pt 2.51, 4 Be 2.78
Sm 0.0000 0.0000 0.0000  8 Pt 3.11

## Properties
Mass density in g/cm3: 10.8
ΔH_f (0 K) in kJ/mol of atoms: -80.3

=====

# 3
## Pa2In2Tc3 (PBE)

Data for a geometry-optimized Pa2In2Tc3 structure.

a b c (Å): 3.5288 5.2188 8.5987
angles (deg): 102.80 90.01 109.67
Last column: nearest neighbours and their distance in Å.
Fractional positions:
In 0.8725 0.7459 0.5461  3 In 2.79-2.95, 3 Tc 2.85-3.06
In 0.1275 0.2541 0.4539  3 In 2.79-2.95, 3 Tc 2.85-3.06
Tc 0.3239 0.6481 0.7882  2 Pa 2.61, 2 Tc 2.82, 2 In 2.85
Tc 0.6761 0.3519 0.2118  2 Pa 2.61, 2 Tc 2.82, 2 In 2.85
Tc 0.0000 0.0000 0.0000  4 Tc 2.82, 4 Pa 2.83
Pa 0.6412 0.2824 0.8335  4 Tc 2.61-2.83
Pa 0.3588 0.7176 0.1665  4 Tc 2.61-2.83

## Properties
Excess energy over the best structure of this formula in the dataset in meV/atom: 69
Mass density in g/cm3: 11.3
ΔH_f (0 K) in kJ/mol of atoms: -9.9

=====

# 4
## SbSBr (PBE)

Data for a geometry-optimized SbSBr structure.

a b c (Å): 3.9812 8.5740 10.8131
angles (deg): 90.00 90.00 90.00
Last column: nearest neighbours and their distance in Å.
Fractional positions:
Sb 0.7500 0.9010 0.1296  3 S 2.50-2.70
Sb 0.2500 0.5990 0.6296  3 S 2.50-2.70
Sb 0.2500 0.0990 0.8704  3 S 2.50-2.70
Sb 0.7500 0.4010 0.3704  3 S 2.50-2.70
Br 0.2500 0.5411 0.2035  2 Sb 2.94
Br 0.2500 0.0411 0.2965  2 Sb 2.94
Br 0.7500 0.9589 0.7035  2 Sb 2.94
Br 0.7500 0.4589 0.7965  2 Sb 2.94
S 0.7500 0.6648 0.4696  3 Sb 2.50-2.70
S 0.2500 0.8352 0.9696  3 Sb 2.50-2.70
S 0.2500 0.3352 0.5304  3 Sb 2.50-2.70
S 0.7500 0.1648 0.0304  3 Sb 2.50-2.70

## Properties
Mass density in g/cm3: 4.2
ΔE_f (raw) in eV per atom: -0.435

=====

# 5
## PaZn4Au (PBE)

Data for a geometry-optimized PaZn4Au structure.

a b c (Å): 5.3475 5.3475 5.3475
angles (deg): 60.00 60.00 60.00
Last column: nearest neighbours and their distance in Å.
Fractional positions:
Zn 0.6249 0.6249 0.6249  6 Zn 2.67
Zn 0.6249 0.6249 0.1252  6 Zn 2.67
Zn 0.1252 0.6249 0.6249  6 Zn 2.67
Zn 0.6249 0.1252 0.6249  6 Zn 2.67
Pa 0.2500 0.2500 0.2500  12 Zn 3.14, 4 Au 3.27
Au 0.0000 0.0000 0.0000  12 Zn 3.14, 4 Pa 3.27

## Properties
Mass density in g/cm3: 10.6
ΔH_f (0 K) in kJ/mol of atoms: 0.9

=====

# 6
## ZnCuTe2 (PBE)

Data for a geometry-optimized ZnCuTe2 structure.

a b c (Å): 5.0390 5.0390 5.0390
angles (deg): 60.00 60.00 60.00
Last column: nearest neighbours and their distance in Å.
Fractional positions:
Te 0.0000 0.0000 0.0000  4 Te 3.09, 4 Zn 3.09
Te 0.7500 0.7500 0.7500  4 Te 3.09, 4 Cu 3.09
Zn 0.2500 0.2500 0.2500  4 Te 3.09, 4 Cu 3.09
Cu 0.5000 0.5000 0.5000  4 Te 3.09, 4 Zn 3.09

## Properties
Excess energy over the best structure of this formula in the dataset in meV/atom: 697
Mass density in g/cm3: 7.1
ΔE_f (raw) in eV per atom: 0.472

=====

# 7
## Mn4GaGeN (PBE)

Data for a geometry-optimized Mn4GaGeN structure.

a b c (Å): 5.2842 5.2826 6.9708
angles (deg): 90.00 112.27 90.00
Last column: nearest neighbours and their distance in Å.
Fractional positions:
Mn 0.9122 0.2500 0.8243  1 N 2.08
Mn 0.5909 0.2500 0.1818  1 N 2.07
Mn 0.5000 0.5000 0.5000  2 N 1.87
Mn 0.0000 0.0000 0.5000  2 N 1.87
Mn 0.0000 0.5000 0.5000  2 N 1.87
Mn 0.0878 0.7500 0.1757  1 N 2.08
Mn 0.5000 0.0000 0.5000  2 N 1.87
Mn 0.4091 0.7500 0.8182  1 N 2.07
Ge 0.8944 0.7500 0.7887  9 Mn 2.50-2.65
Ge 0.1056 0.2500 0.2113  9 Mn 2.50-2.65
Ga 0.3965 0.2500 0.7930  9 Mn 2.51-2.66
Ga 0.6035 0.7500 0.2070  9 Mn 2.51-2.66
N 0.2487 0.7500 0.4975  6 Mn 1.87-2.08
N 0.7513 0.2500 0.5025  6 Mn 1.87-2.08

## Properties
Mass density in g/cm3: 6.9
ΔE_f (raw) in eV per atom: -0.109

=====

# 8
## AcHoCoRh (PBE)

Data for a geometry-optimized AcHoCoRh structure.

a b c (Å): 4.9999 4.9999 4.9999
angles (deg): 60.00 60.00 60.00
Last column: nearest neighbours and their distance in Å.
Fractional positions:
Ho 0.5000 0.5000 0.5000  4 Co 3.06, 4 Rh 3.06
Ac 0.0000 0.0000 0.0000  4 Rh 3.06, 4 Co 3.06
Co 0.2500 0.2500 0.2500  4 Ac 3.06, 4 Ho 3.06
Rh 0.7500 0.7500 0.7500  4 Ac 3.06, 4 Ho 3.06

## Properties
Mass density in g/cm3: 10.4
ΔH_f (0 K) in kJ/mol of atoms: -26.0

=====

# 9
## AlPbAu3 (PBE)

Data for a geometry-optimized AlPbAu3 structure.

a b c (Å): 4.9125 4.9125 4.9125
angles (deg): 90.00 90.00 90.00
Last column: nearest neighbours and their distance in Å.
Fractional positions:
Al 0.0000 0.0000 0.0000  6 Au 2.46
Au 0.5000 0.0000 0.0000  2 Al 2.46
Au 0.0000 0.0000 0.5000  2 Al 2.46
Au 0.0000 0.5000 0.0000  2 Al 2.46
Pb 0.5000 0.5000 0.5000  12 Au 3.47

## Properties
Excess energy over the best structure of this formula in the dataset in meV/atom: 243
Mass density in g/cm3: 11.6
ΔH_f (0 K) in kJ/mol of atoms: 3.6

=====

# 10
## LaSi (PBE)

Data for a geometry-optimized LaSi structure.

a b c (Å): 4.8036 4.8036 5.7327
angles (deg): 90.00 90.00 120.00
Last column: nearest neighbours and their distance in Å.
Fractional positions:
La 0.6667 0.3333 0.5000  6 Si 3.18
La 0.0000 0.0000 0.0000  6 Si 3.06
Si 0.3333 0.6667 0.7730  1 Si 2.60
Si 0.3333 0.6667 0.2270  1 Si 2.60

## Properties
Mass density in g/cm3: 4.8
ΔE_f (raw) in eV per atom: -0.571

=====

# 11
## BaMoAu2 (PBE)

Data for a geometry-optimized BaMoAu2 structure.

a b c (Å): 5.3174 5.3174 10.0743
angles (deg): 74.70 74.70 90.00
Last column: nearest neighbours and their distance in Å.
Fractional positions:
Au 0.3747 0.1250 0.2500  2 Au 2.66, 2 Mo 2.69
Au 0.8750 0.6247 0.7500  2 Au 2.66, 2 Mo 2.69
Au 0.3750 0.6253 0.7500  2 Au 2.66, 2 Mo 2.69
Au 0.3753 0.6250 0.2500  2 Au 2.66, 2 Mo 2.69
Ba 0.0000 0.0000 0.0000  4 Mo 3.76, 8 Au 3.78
Ba 0.7500 0.2500 0.5000  4 Mo 3.76, 8 Au 3.78
Mo 0.2500 0.7500 0.5000  4 Au 2.69
Mo 0.5000 0.5000 0.0000  4 Au 2.69

## Properties
Excess energy over the best structure of this formula in the dataset in meV/atom: 364
Mass density in g/cm3: 7.9
ΔH_f (0 K) in kJ/mol of atoms: 41.6

=====

# 12
## Pm4CO3 (PBE)

Data for a geometry-optimized Pm4CO3 structure.

a b c (Å): 5.0740 5.0740 5.0740
angles (deg): 90.00 90.00 90.00
Last column: nearest neighbours and their distance in Å.
Fractional positions:
Pm 0.5000 0.5000 0.5000  6 O 2.54
Pm 0.5000 0.0000 0.0000  4 O 2.54, 2 C 2.54
Pm 0.0000 0.0000 0.5000  4 O 2.54, 2 C 2.54
Pm 0.0000 0.5000 0.0000  4 O 2.54, 2 C 2.54
O 0.5000 0.5000 0.0000  6 Pm 2.54
O 0.5000 0.0000 0.5000  6 Pm 2.54
O 0.0000 0.5000 0.5000  6 Pm 2.54
C 0.0000 0.0000 0.0000  6 Pm 2.54

## Properties
Excess energy over the best structure of this formula in the dataset in meV/atom: 26
Mass density in g/cm3: 8.1
ΔE_f (raw) in eV per atom: -2.190

=====

> mass density of number 7 (Mn4GaGeN)?

6.9 g/cm3

=====

> Which formula does entry 7 have?

Mn4GaGeN